P | A relaxed Nd4Sm2Mg crystal. Source: Alexandria via LeMat-Bulk, functional PBE.

Computed properties:
The value obtained for the magnetization is 0.00 μB per atom.

Geometry as POSCAR:
```
Nd4Sm2Mg
1.0
-2.2875 0.0895 -4.1711
4.1369 -0.5676 -2.2809
-1.3093 -11.4414 0.4724
Nd Sm Mg
4 2 1
direct
0.7410 0.7410 0.2357 Nd
0.2590 0.7410 0.7643 Nd
0.2590 0.2590 0.2357 Nd
0.7410 0.2590 0.7643 Nd
0.0000 0.5000 0.5000 Sm
0.5000 0.0000 0.5000 Sm
0.0000 0.0000 0.0000 Mg
```

***

Q | A relaxed Nd4Sm2Mg crystal. Source: Alexandria via LeMat-Bulk, functional PBE.

Computed properties:
The value obtained for the magnetization is 0.00 μB per atom.

Geometry as POSCAR:
```
Nd4Sm2Mg
1.0
6.8722 0.0000 0.0000
3.4361 8.2850 -1.1479
3.4361 1.6116 8.2074
Nd Sm Mg
8 4 2
direct
0.8469 0.1676 0.1386 Nd
0.2318 0.2416 0.7416 Nd
0.1531 0.8324 0.8614 Nd
0.8469 0.6386 0.6676 Nd
0.2150 0.7584 0.2584 Nd
0.1531 0.3614 0.3324 Nd
0.7850 0.2416 0.7416 Nd
0.7682 0.7584 0.2584 Nd
0.5000 0.0000 0.0000 Sm
0.2829 0.9671 0.4671 Sm
0.7171 0.0329 0.5329 Sm
0.5000 0.5000 0.5000 Sm
0.0000 0.5000 0.0000 Mg
0.5000 0.5000 0.0000 Mg
```

***

Looking at the structures above, which would you pick as the most stable? I would pick Q.